1.
P3RuF | PBE | relaxed

abc: 4.1982 4.1982 4.1982
angles: 90.00 90.00 90.00
Element x y z (fractional)
Ru  0.5000  0.5000  0.5000
F  0.0000  0.0000  0.0000
P  0.0000  0.5000  0.0000
P  0.0000  0.0000  0.5000
P  0.5000  0.0000  0.0000

Calculated values
total energy	-4.61	eV per atom
E above lowest polymorph	230.6	kJ/mol of formula units

2.
PRuF | PBE | relaxed

abc: 5.6501 6.4744 5.6501
angles: 73.95 68.50 106.05
Element x y z (fractional)
F  0.8180  0.2136  0.2606
F  0.8544  0.2864  0.7242
F  0.9894  0.7136  0.4320
F  0.5258  0.7864  0.3956
P  0.0106  0.8987  0.5967
P  0.6533  0.3987  0.2394
P  0.5045  0.1013  0.8881
P  0.3619  0.6013  0.7455
Ru  0.2919  0.2570  0.6716
Ru  0.5784  0.7570  0.9581
Ru  0.2849  0.2430  0.1786
Ru  0.0714  0.7430  0.9651

Calculated values
total energy	-6.46	eV per atom

3.
PRuF2 | PBE | relaxed

abc: 3.4936 3.4936 8.2368
angles: 77.76 77.76 90.00
Element x y z (fractional)
Ru  0.0000  0.0000  0.0000
Ru  0.7500  0.2500  0.5000
F  0.6300  0.1250  0.2500
F  0.1200  0.6250  0.2500
F  0.3750  0.3700  0.7500
F  0.8750  0.8800  0.7500
P  0.5000  0.5000  0.0000
P  0.2500  0.7500  0.5000

Calculated values
total energy	-5.13	eV per atom
E above lowest polymorph	16.9	kJ/mol of formula units